Record 1
# SrUTlBr6 GGA-PBE relaxed
data_SrUTlBr6
_chemical_formula_sum 'Sr2 U2 Tl2 Br12'
_cell_length_a 7.809
_cell_length_b 7.809
_cell_length_c 14.163
_cell_angle_alpha 90.00
_cell_angle_beta 90.00
_cell_angle_gamma 120.00
_space_group_name_H-M_alt 'P 1'
_space_group_IT_number 1
loop_
_space_group_symop_operation_xyz
'x,y,z'
loop_
_atom_site_label
_atom_site_type_symbol
_atom_site_fract_x
_atom_site_fract_y
_atom_site_fract_z
Sr1 Sr 0.333 0.667 0.250
Sr2 Sr 0.667 0.333 0.750
U1 U 0.667 0.333 0.250
U2 U 0.333 0.667 0.750
Tl1 Tl 0.000 0.000 0.000
Tl2 Tl 0.000 0.000 0.500
Br1 Br 0.644 0.629 0.133
Br2 Br 0.985 0.356 0.133
Br3 Br 0.356 0.985 0.633
Br4 Br 0.015 0.644 0.867
Br5 Br 0.371 0.356 0.367
Br6 Br 0.985 0.629 0.367
Br7 Br 0.629 0.985 0.867
Br8 Br 0.644 0.015 0.367
Br9 Br 0.015 0.371 0.633
Br10 Br 0.371 0.015 0.133
Br11 Br 0.629 0.644 0.633
Br12 Br 0.356 0.371 0.867
# Formation energy without anion corrections in kJ/mol of formula units: -1277
# E in eV per atom: -4.290
# Magnetization in μB/atom: 0.33

=====

Record 2
# PmSmCuIr GGA-PBE relaxed
data_PmSmCuIr
_chemical_formula_sum 'Pm1 Sm1 Cu1 Ir1'
_cell_length_a 4.993
_cell_length_b 4.993
_cell_length_c 4.993
_cell_angle_alpha 60.00
_cell_angle_beta 60.00
_cell_angle_gamma 60.00
_space_group_name_H-M_alt 'P 1'
_space_group_IT_number 1
loop_
_space_group_symop_operation_xyz
'x,y,z'
loop_
_atom_site_label
_atom_site_type_symbol
_atom_site_fract_x
_atom_site_fract_y
_atom_site_fract_z
Ir1 Ir 0.250 0.250 0.250
Cu1 Cu 0.750 0.750 0.750
Sm1 Sm 0.500 0.500 0.500
Pm1 Pm 0.000 0.000 0.000
# E in eV per atom: -6.066
# DFT formation energy in eV/atom: -0.46
# Energy above the most stable polymorph in this dataset in kJ/mol of atoms: 3.8
# Magnetization in μB/atom: 0.00

=====

Record 3
# InAg2HPd GGA-PBE relaxed
data_InAg2HPd
_chemical_formula_sum 'In1 Ag2 H1 Pd1'
_cell_length_a 4.293
_cell_length_b 4.293
_cell_length_c 4.056
_cell_angle_alpha 90.00
_cell_angle_beta 90.00
_cell_angle_gamma 90.00
_space_group_name_H-M_alt 'P 1'
_space_group_IT_number 1
loop_
_space_group_symop_operation_xyz
'x,y,z'
loop_
_atom_site_label
_atom_site_type_symbol
_atom_site_fract_x
_atom_site_fract_y
_atom_site_fract_z
H1 H 0.000 0.000 0.000
Pd1 Pd 0.000 0.000 0.500
Ag1 Ag 0.000 0.500 0.000
Ag2 Ag 0.500 0.000 0.000
In1 In 0.500 0.500 0.500
# E in eV per atom: -3.436
# Magnetization in μB/atom: 0.00